DFT (PBE) results for an optimized crystal structure of CaAlGe2.

Structure (POSCAR):
```
CaAlGe2
1.0
-4.4117 -0.3517 0.2120
-1.9937 -0.5388 3.9201
-2.5178 4.8100 1.8846
Ge Ca Al
2 1 1
Direct
0.2832 0.2832 0.1503
0.7168 0.7168 0.8497
0.5000 0.5000 0.5000
0.0000 0.0000 0.0000
```

Values from the calculation:
Formation energy ... -0.238 eV/atom
D(E_F) ... 0.35 states/eV/atom

DFT (PBE) results for an optimized crystal structure of Cd2SnP2.

Structure (POSCAR):
```
Cd2SnP2
1.0
4.3552 0.0000 0.0000
0.0000 4.3552 0.0000
2.1776 2.1776 5.9993
P Sn Cd
2 1 2
Direct
0.7500 0.2500 0.5000
0.2500 0.7500 0.5000
0.0000 0.0000 0.0000
0.3850 0.3850 0.2300
0.6150 0.6150 0.7700
```

Values from the calculation:
Energy above the lowest structure with this stoichiometry ... 14.9 kJ per mole of atoms
Formation energy ... 0.381 eV/atom
D(E_F) ... 0.37 states/eV/atom

DFT (PBE) results for an optimized crystal structure of PmCdAu4.

Structure (POSCAR):
```
PmCdAu4
1.0
-4.8046 0.2434 -2.9095
-4.2299 -3.4819 1.2619
-4.6589 2.0010 2.4289
Cd Au Pm
1 4 1
Direct
0.2500 0.2500 0.2500
0.6246 0.6246 0.1262
0.6246 0.1262 0.6246
0.6246 0.6246 0.6246
0.1262 0.6246 0.6246
0.0000 0.0000 0.0000
```

Values from the calculation:
Energy above the lowest structure with this stoichiometry ... 2.5 kJ per mole of atoms
Formation energy ... -0.451 eV/atom
D(E_F) ... 0.95 states/eV/atom

DFT (PBE) results for an optimized crystal structure of K4Rb2CdHg2.

Structure (POSCAR):
```
K4Rb2CdHg2
1.0
-1.8500 4.1090 4.6995
-8.3290 0.2686 -0.8271
2.3398 -9.7694 3.8444
K Rb Cd Hg
4 2 1 2
Direct
0.5995 0.7753 0.0546
0.0037 0.7803 0.6516
0.4005 0.2247 0.9454
0.9963 0.2197 0.3484
0.3289 0.6668 0.3186
0.6711 0.3332 0.6814
0.0000 0.0000 0.0000
0.9313 0.3779 0.0625
0.0687 0.6221 0.9375
```

Values from the calculation:
Formation energy ... -0.093 eV/atom
D(E_F) ... 0.65 states/eV/atom